Compound: RbBiAsSe2
Source: Alexandria
Functional: PBE
Structure: relaxed

E_form (uncorrected), eV/atom: 1.19
Final energy, eV/cell: -10.50
Total magnetic moment, μB per atom: 0.000
Relative energy among the computed polymorphs, eV/atom: 1.1939

Lattice parameters (Å, degrees): 5.688 5.688 5.509 90.00 90.00 90.00
Space group P4/mmm (No. 123)
Symmetry-distinct sites (fractional):
Rb: 0.000 0.000 0.000
Bi: 0.500 0.500 0.500
As: 0.000 0.000 0.500
Se: 0.000 0.500 0.000